The following is a DFT calculation (PBE) of an optimized crystal structure of PmNd2YHo2.

abc: 7.078 5.694 9.853
angles: 90.00 90.00 90.00
Space group Pmma (No. 51)
Inequivalent atoms, fractional coordinates:
Pm 0.250 0.000 0.160 (multiplicity 2)
Nd 0.000 0.000 0.500 (multiplicity 2)
Nd 0.250 0.500 0.675 (multiplicity 2)
Y 0.000 0.500 0.000 (multiplicity 2)
Ho 0.250 0.000 0.831 (multiplicity 2)
Ho 0.250 0.500 0.336 (multiplicity 2)

The formation energy comes out at 0.059 eV per atom. Its total DFT energy (no corrections) is -4.93 eV per atom.

=====

The following is a DFT calculation (PBE) of an optimized crystal structure of Pm3NdY6Ho2.

abc: 6.228 10.780 11.870
angles: 90.00 100.02 90.00
Space group C2/m (No. 12)
Inequivalent atoms, fractional coordinates:
Pm 0.000 0.000 0.000 (multiplicity 2)
Pm 0.000 0.333 0.000 (multiplicity 4)
Nd 0.000 0.500 0.500 (multiplicity 2)
Y 0.249 0.000 0.748 (multiplicity 4)
Y 0.250 0.167 0.252 (multiplicity 8)
Ho 0.000 0.167 0.500 (multiplicity 4)

The formation energy comes out at 0.016 eV per atom. Its total DFT energy (no corrections) is -5.56 eV per atom.

=====

The following is a DFT calculation (PBE) of an optimized crystal structure of Pm2Nd3YHo6.

abc: 6.227 10.782 11.827
angles: 90.00 100.07 90.00
Space group C2/m (No. 12)
Inequivalent atoms, fractional coordinates:
Pm 0.000 0.166 0.000 (multiplicity 4)
Nd 0.000 0.000 0.500 (multiplicity 2)
Nd 0.000 0.333 0.500 (multiplicity 4)
Y 0.000 0.500 0.000 (multiplicity 2)
Ho 0.250 0.000 0.249 (multiplicity 4)
Ho 0.250 0.167 0.751 (multiplicity 8)

The formation energy comes out at 0.015 eV per atom. Its total DFT energy (no corrections) is -4.80 eV per atom.

=====

The following is a DFT calculation (PBE) of an optimized crystal structure of PmNdYHo2.

abc: 8.403 11.586 7.192
angles: 90.00 90.00 90.00
Space group Cmcm (No. 63)
Inequivalent atoms, fractional coordinates:
Pm 0.000 0.012 0.250 (multiplicity 4)
Nd 0.000 0.278 0.250 (multiplicity 4)
Y 0.000 0.271 0.750 (multiplicity 4)
Ho 0.187 0.500 0.000 (multiplicity 8)

The formation energy comes out at 0.378 eV per atom. Its total DFT energy (no corrections) is -4.65 eV per atom.

=====

The following is a DFT calculation (PBE) of an optimized crystal structure of PmNd3Y2Ho6.

abc: 6.214 10.756 11.830
angles: 90.00 100.04 90.00
Space group C2/m (No. 12)
Inequivalent atoms, fractional coordinates:
Pm 0.000 0.000 0.000 (multiplicity 2)
Nd 0.000 0.167 0.500 (multiplicity 4)
Nd 0.000 0.500 0.500 (multiplicity 2)
Y 0.000 0.333 0.000 (multiplicity 4)
Ho 0.249 0.167 0.248 (multiplicity 8)
Ho 0.250 0.000 0.752 (multiplicity 4)

The formation energy comes out at 0.018 eV per atom. Its total DFT energy (no corrections) is -4.94 eV per atom.

=====

The following is a DFT calculation (PBE) of an optimized crystal structure of Pm6NdYHo2.

abc: 9.223 15.324 9.721
angles: 90.00 97.77 90.00
Space group C2/c (No. 15)
Inequivalent atoms, fractional coordinates:
Pm 0.063 0.179 0.446 (multiplicity 8)
Pm 0.101 0.393 0.620 (multiplicity 8)
Pm 0.207 0.226 0.816 (multiplicity 8)
Nd 0.000 0.407 0.250 (multiplicity 4)
Y 0.000 0.027 0.750 (multiplicity 4)
Ho 0.246 0.050 0.045 (multiplicity 8)

The formation energy comes out at 0.115 eV per atom. Its total DFT energy (no corrections) is -4.77 eV per atom.

=====

The following is a DFT calculation (PBE) of an optimized crystal structure of PmNd2YHo6.

abc: 9.025 15.098 9.734
angles: 90.00 99.19 90.00
Space group C2/c (No. 15)
Inequivalent atoms, fractional coordinates:
Pm 0.000 0.094 0.250 (multiplicity 4)
Nd 0.243 0.447 0.042 (multiplicity 8)
Y 0.000 0.482 0.750 (multiplicity 4)
Ho 0.066 0.310 0.443 (multiplicity 8)
Ho 0.104 0.105 0.620 (multiplicity 8)
Ho 0.197 0.275 0.814 (multiplicity 8)

The formation energy comes out at 0.120 eV per atom. Its total DFT energy (no corrections) is -4.70 eV per atom.

=====

The following is a DFT calculation (PBE) of an optimized crystal structure of Pm6NdY2Ho.

abc: 9.317 15.295 9.656
angles: 90.00 97.13 90.00
Space group C2/c (No. 15)
Inequivalent atoms, fractional coordinates:
Pm 0.063 0.176 0.444 (multiplicity 8)
Pm 0.096 0.390 0.619 (multiplicity 8)
Pm 0.209 0.225 0.815 (multiplicity 8)
Nd 0.000 0.407 0.250 (multiplicity 4)
Y 0.245 0.048 0.047 (multiplicity 8)
Ho 0.000 0.031 0.750 (multiplicity 4)

The formation energy comes out at 0.119 eV per atom. Its total DFT energy (no corrections) is -4.96 eV per atom.

=====

The following is a DFT calculation (PBE) of an optimized crystal structure of PmNdY5Ho2.

abc: 5.657 20.108 10.546
angles: 90.00 90.00 90.00
Space group Cmc2_1 (No. 36)
Inequivalent atoms, fractional coordinates:
Pm 0.000 0.198 0.000 (multiplicity 4)
Nd 0.000 0.416 0.432 (multiplicity 4)
Y 0.000 0.017 0.009 (multiplicity 4)
Y 0.000 0.279 0.303 (multiplicity 4)
Y 0.000 0.299 0.693 (multiplicity 4)
Y 0.000 0.387 0.010 (multiplicity 4)
Y 0.000 0.478 0.721 (multiplicity 4)
Ho 0.000 0.111 0.720 (multiplicity 4)
Ho 0.000 0.113 0.306 (multiplicity 4)

The formation energy comes out at 0.158 eV per atom. Its total DFT energy (no corrections) is -5.51 eV per atom.

=====

The following is a DFT calculation (PBE) of an optimized crystal structure of Pm4Nd2Y2Ho.

abc: 18.856 3.623 8.902
angles: 90.00 90.04 90.00
Space group C2/m (No. 12)
Inequivalent atoms, fractional coordinates:
Pm 0.055 0.000 0.171 (multiplicity 4)
Pm 0.222 0.500 0.169 (multiplicity 4)
Nd 0.111 0.500 0.831 (multiplicity 4)
Y 0.166 0.000 0.500 (multiplicity 4)
Ho 0.000 0.500 0.500 (multiplicity 2)

The formation energy comes out at 0.016 eV per atom. Its total DFT energy (no corrections) is -5.10 eV per atom.

=====

The following is a DFT calculation (PBE) of an optimized crystal structure of PmNdYHo.

abc: 8.123 8.123 8.123
angles: 90.00 90.00 90.00
Space group F-43m (No. 216)
Inequivalent atoms, fractional coordinates:
Pm 0.000 0.000 0.000 (multiplicity 4)
Nd 0.000 0.000 0.500 (multiplicity 4)
Y 0.250 0.250 0.250 (multiplicity 4)
Ho 0.250 0.250 0.750 (multiplicity 4)

The formation energy comes out at 0.111 eV per atom. Its total DFT energy (no corrections) is -5.03 eV per atom. Its distance to the lowest polymorph of the same formula is 93.0 meV per atom.

=====

The following is a DFT calculation (PBE) of an optimized crystal structure of PmNdY2Ho5.

abc: 8.780 8.780 15.183
angles: 90.00 90.00 90.00
Space group I4/mcm (No. 140)
Inequivalent atoms, fractional coordinates:
Pm 0.000 0.000 0.250 (multiplicity 4)
Nd 0.000 0.500 0.250 (multiplicity 4)
Y 0.117 0.383 0.000 (multiplicity 8)
Ho 0.000 0.000 0.000 (multiplicity 4)
Ho 0.205 0.295 0.364 (multiplicity 16)

The formation energy comes out at 0.291 eV per atom. Its total DFT energy (no corrections) is -4.75 eV per atom.

=====

The following is a DFT calculation (PBE) of an optimized crystal structure of PmNd3YHo.

abc: 5.126 15.407 10.299
angles: 90.00 90.00 90.00
Space group Cmcm (No. 63)
Inequivalent atoms, fractional coordinates:
Pm 0.000 0.001 0.250 (multiplicity 4)
Nd 0.000 0.165 0.000 (multiplicity 8)
Nd 0.000 0.334 0.250 (multiplicity 4)
Y 0.000 0.334 0.750 (multiplicity 4)
Ho 0.000 0.500 0.000 (multiplicity 4)

The formation energy comes out at 0.015 eV per atom. Its total DFT energy (no corrections) is -5.00 eV per atom.

=====

The following is a DFT calculation (PBE) of an optimized crystal structure of Pm6Nd2Y3Ho.

abc: 6.288 10.891 11.984
angles: 90.00 100.06 90.00
Space group C2/m (No. 12)
Inequivalent atoms, fractional coordinates:
Pm 0.248 0.000 0.248 (multiplicity 4)
Pm 0.250 0.166 0.752 (multiplicity 8)
Nd 0.000 0.333 0.500 (multiplicity 4)
Y 0.000 0.166 0.000 (multiplicity 4)
Y 0.000 0.500 0.000 (multiplicity 2)
Ho 0.000 0.000 0.500 (multiplicity 2)

The formation energy comes out at 0.013 eV per atom. Its total DFT energy (no corrections) is -5.15 eV per atom.

=====

The following is a DFT calculation (PBE) of an optimized crystal structure of Pm6Nd3YHo2.

abc: 6.300 10.913 12.018
angles: 90.00 100.06 90.00
Space group C2/m (No. 12)
Inequivalent atoms, fractional coordinates:
Pm 0.248 0.000 0.246 (multiplicity 4)
Pm 0.250 0.167 0.754 (multiplicity 8)
Nd 0.000 0.000 0.500 (multiplicity 2)
Nd 0.000 0.333 0.500 (multiplicity 4)
Y 0.000 0.500 0.000 (multiplicity 2)
Ho 0.000 0.167 0.000 (multiplicity 4)

The formation energy comes out at 0.015 eV per atom. Its total DFT energy (no corrections) is -4.85 eV per atom.

=====

The following is a DFT calculation (PBE) of an optimized crystal structure of Pm2NdY4Ho2.

abc: 18.782 3.626 9.631
angles: 90.00 115.70 90.00
Space group C2/m (No. 12)
Inequivalent atoms, fractional coordinates:
Pm 0.148 0.000 0.167 (multiplicity 4)
Nd 0.000 0.000 0.500 (multiplicity 2)
Y 0.019 0.500 0.834 (multiplicity 4)
Y 0.185 0.000 0.834 (multiplicity 4)
Ho 0.168 0.500 0.502 (multiplicity 4)

The formation energy comes out at 0.003 eV per atom. Its total DFT energy (no corrections) is -5.47 eV per atom.

=====

The following is a DFT calculation (PBE) of an optimized crystal structure of Pm2NdYHo5.

abc: 8.746 8.746 15.398
angles: 90.00 90.00 90.00
Space group I4/mcm (No. 140)
Inequivalent atoms, fractional coordinates:
Pm 0.116 0.384 0.000 (multiplicity 8)
Nd 0.000 0.000 0.250 (multiplicity 4)
Y 0.000 0.500 0.250 (multiplicity 4)
Ho 0.000 0.000 0.000 (multiplicity 4)
Ho 0.210 0.290 0.363 (multiplicity 16)

The formation energy comes out at 0.265 eV per atom. Its total DFT energy (no corrections) is -4.58 eV per atom.

=====

The following is a DFT calculation (PBE) of an optimized crystal structure of Pm6Nd2YHo.

abc: 9.187 15.425 9.812
angles: 90.00 98.24 90.00
Space group C2/c (No. 15)
Inequivalent atoms, fractional coordinates:
Pm 0.061 0.186 0.445 (multiplicity 8)
Pm 0.105 0.395 0.619 (multiplicity 8)
Pm 0.204 0.222 0.811 (multiplicity 8)
Nd 0.248 0.053 0.042 (multiplicity 8)
Y 0.000 0.020 0.750 (multiplicity 4)
Ho 0.000 0.409 0.250 (multiplicity 4)

The formation energy comes out at 0.112 eV per atom. Its total DFT energy (no corrections) is -4.80 eV per atom.

=====

The following is a DFT calculation (PBE) of an optimized crystal structure of Pm2Nd5YHo.

abc: 8.695 8.695 16.556
angles: 90.00 90.00 90.00
Space group I4/mcm (No. 140)
Inequivalent atoms, fractional coordinates:
Pm 0.120 0.380 0.000 (multiplicity 8)
Nd 0.000 0.000 0.000 (multiplicity 4)
Nd 0.214 0.286 0.358 (multiplicity 16)
Y 0.000 0.000 0.250 (multiplicity 4)
Ho 0.000 0.500 0.250 (multiplicity 4)

The formation energy comes out at 0.276 eV per atom. Its total DFT energy (no corrections) is -4.65 eV per atom.